1.
Here is an optimized crystal structure of CaTbGa from the Alexandria database. Energies are from PBE.

Its formation enthalpy at 0 K is -324.1 meV/atom. The total energy is -3.54 eV/atom.

The space group is I4mm (No. 107) and the conventional cell measures 3.598, 3.598 and 13.202 Å, with angles of 90.00, 90.00 and 90.00 degrees. The inequivalent atoms are Ca at (0.000, 0.000, 0.000), Tb at (0.000, 0.000, 0.273) and Ga at (0.000, 0.000, 0.648).

---

2.
Here is an optimized crystal structure of CaTbGa from the Alexandria database. Energies are from PBE.

Its formation enthalpy at 0 K is -236.9 meV/atom. The total energy is -3.46 eV/atom.

The space group is F-43m (No. 216) and the conventional cell measures 7.169, 7.169 and 7.169 Å, with angles of 90.00, 90.00 and 90.00 degrees. The inequivalent atoms are Ca at (0.000, 0.000, 0.000), Tb at (0.000, 0.000, 0.500) and Ga at (0.250, 0.250, 0.250).

---

3.
Here is an optimized crystal structure of CaTbGa2 from the Alexandria database. Energies are from PBE.

Its formation enthalpy at 0 K is -515.2 meV/atom. The total energy is -3.69 eV/atom.

The space group is P4/mmm (No. 123) and the conventional cell measures 3.617, 3.617 and 7.313 Å, with angles of 90.00, 90.00 and 90.00 degrees. The inequivalent atoms are Ca at (0.000, 0.000, 0.000), Tb at (0.000, 0.000, 0.500) and Ga at (0.500, 0.500, 0.257).